[1]
Below is Tb2CuAg after structural relaxation, with properties calculated at the PBE level.

The structure in CIF format:
```
data_Tb2CuAg
_chemical_formula_sum 'Tb2 Cu1 Ag1'
_cell_length_a 3.5652
_cell_length_b 3.5652
_cell_length_c 7.1596
_cell_angle_alpha 90.00
_cell_angle_beta 90.00
_cell_angle_gamma 90.00
_space_group_name_H-M_alt 'P 4/m m m'
_space_group_IT_number 123
_space_group_name_Hall '-P 4 2'
loop_
_atom_site_label
_atom_site_type_symbol
_atom_site_fract_x
_atom_site_fract_y
_atom_site_fract_z
Tb1 Tb 0.0000 0.0000 0.2361
Cu1 Cu 0.5000 0.5000 0.0000
Ag1 Ag 0.5000 0.5000 0.5000
```

Output
- mass density (g/cm³) = 8.93
- magnetic moment (μB per cell) = 0.0
- offset from the most stable computed form (meV per atom) = 0.0
- formation energy from the elements (eV per atom) = -0.28
- calculated total energy (eV per atom) = -4.327
- calculated volume (Å³/cell) = 91.0


[2]
Below is Tb2TiIn after structural relaxation, with properties calculated at the PBE level.

The structure in CIF format:
```
data_Tb2TiIn
_chemical_formula_sum 'Tb6 Ti3 In3'
_cell_length_a 3.3102
_cell_length_b 3.3102
_cell_length_c 34.1464
_cell_angle_alpha 90.00
_cell_angle_beta 90.00
_cell_angle_gamma 120.00
_space_group_name_H-M_alt 'R -3 m'
_space_group_IT_number 166
_space_group_name_Hall '-R 3 2"'
loop_
_atom_site_label
_atom_site_type_symbol
_atom_site_fract_x
_atom_site_fract_y
_atom_site_fract_z
Tb1 Tb 0.0000 0.0000 0.0871
Ti1 Ti 0.0000 0.0000 0.0000
In1 In 0.0000 0.0000 0.5000
```

Output
- mass density (g/cm³) = 7.39
- magnetic moment (μB per cell) = 6.3
- offset from the most stable computed form (meV per atom) = 396.0
- formation energy from the elements (eV per atom) = 0.29
- calculated total energy (eV per atom) = -4.683
- calculated volume (Å³/cell) = 324.0


[3]
Below is Ba2MnSb after structural relaxation, with properties calculated at the PBE level.

The structure in CIF format:
```
data_Ba2MnSb
_chemical_formula_sum 'Ba2 Mn1 Sb1'
_cell_length_a 5.6443
_cell_length_b 5.6443
_cell_length_c 4.5970
_cell_angle_alpha 90.00
_cell_angle_beta 90.00
_cell_angle_gamma 90.00
_space_group_name_H-M_alt 'P 4/m m m'
_space_group_IT_number 123
_space_group_name_Hall '-P 4 2'
loop_
_atom_site_label
_atom_site_type_symbol
_atom_site_fract_x
_atom_site_fract_y
_atom_site_fract_z
Ba1 Ba 0.0000 0.5000 0.0000
Mn1 Mn 0.0000 0.0000 0.5000
Sb1 Sb 0.5000 0.5000 0.5000
```

Output
- mass density (g/cm³) = 5.12
- magnetic moment (μB per cell) = 4.5
- formation energy (no corrections) (eV/f.u.) = -0.59
- calculated total energy (eV per atom) = -4.433
- calculated volume (Å³/cell) = 146.5